## Ta4Mn7Si6 (GGA-PBE)

Data for a relaxed Ta4Mn7Si6 crystal.

Lattice parameters (Å, degrees): 6.6063 6.6063 6.6063 109.47 109.47 109.47
Last column: nearest neighbours and their distance in Å.
Element x y z (fractional)
Mn (0.0000, 0.0000, 0.0000)  6 Si 2.35
Mn (0.7500, 0.2500, 0.5000)  4 Si 2.40
Mn (0.5000, 0.7500, 0.2500)  4 Si 2.40
Mn (0.2500, 0.7500, 0.5000)  4 Si 2.40
Mn (0.2500, 0.5000, 0.7500)  4 Si 2.40
Mn (0.5000, 0.2500, 0.7500)  4 Si 2.40
Mn (0.7500, 0.5000, 0.2500)  4 Si 2.40
Si (0.3081, 0.0000, 0.3081)  5 Mn 2.35-2.40
Si (0.6919, 0.6919, 0.0000)  5 Mn 2.35-2.40
Si (0.0000, 0.3081, 0.3081)  5 Mn 2.35-2.40
Si (0.3081, 0.3081, 0.0000)  5 Mn 2.35-2.40
Si (0.6919, 0.0000, 0.6919)  5 Mn 2.35-2.40
Si (0.0000, 0.6919, 0.6919)  5 Mn 2.35-2.40
Ta (0.5000, 0.5000, 0.5000)  6 Mn 2.70, 6 Si 2.73
Ta (0.5000, 0.0000, 0.0000)  6 Mn 2.70, 6 Si 2.73
Ta (0.0000, 0.5000, 0.0000)  6 Mn 2.70, 6 Si 2.73
Ta (0.0000, 0.0000, 0.5000)  6 Mn 2.70, 6 Si 2.73

Summary:
Uncorrected formation energy: -0.41 eV per atom